First-principles (PBEsol) data for a relaxed In3Pt4 crystal, as listed in Alexandria.

Structure (POSCAR):
```
In3Pt4
1.0
7.101 0.001 -0.007
-1.629 6.899 -0.002
-2.761 -3.430 7.647
In Pt
9 12
Direct
0.501 0.737 0.669
0.477 0.253 0.307
0.059 0.825 0.884
0.996 0.494 0.502
0.966 0.195 0.137
0.943 0.181 0.689
0.541 0.293 0.833
0.436 0.685 0.188
0.066 0.822 0.307
0.500 0.003 0.496
0.505 0.001 0.999
0.245 0.260 0.502
0.714 0.465 0.657
0.207 0.929 0.658
0.787 0.044 0.329
0.758 0.753 0.495
0.747 0.755 0.998
0.728 0.455 0.181
0.291 0.553 0.834
0.253 0.250 0.997
0.999 0.502 0.000
```

Computed properties:
**V**: 374.4 Å³ per cell
**Energy of formation**: -0.45 eV/atom
**Electronic total energy**: -119.86 eV per cell
**Symmetry**: P1, No. 1